Compound: KPb3
Source: the Alexandria database
Functional: PBE
Structure: relaxed

Properties
The calculation puts the formation energy at -24 kJ/mol of formula units. Its total energy is -12.47 eV per formula unit. As for the space group: Pm-3m (221). The total magnetization is 0.000 Bohr magnetons per cell.

Unit cell a=5.0642 b=5.0642 c=5.0642 alpha=90.00 beta=90.00 gamma=90.00
Last column: nearest neighbours and their distance in Å.
Fractional positions:
K1 0.0000 0.0000 0.0000  12 Pb 3.58
Pb1 0.0000 0.5000 0.5000  8 Pb 3.58, 4 K 3.58
Pb2 0.5000 0.0000 0.5000  8 Pb 3.58, 4 K 3.58
Pb3 0.5000 0.5000 0.0000  8 Pb 3.58, 4 K 3.58